## La3Sm8Er4 (PBE-GGA)

Data for a geometry-optimized La3Sm8Er4 structure.

```
15
Lattice="6.982 -6.125 0.000 6.982 6.125 0.000 -3.373 0.000 6.027" Properties=species:S:1:pos:R:3 pbc="T T T"
La 0.000 0.000 0.000
La 1.805 3.062 3.013
La 1.805 -3.062 3.013
Sm 0.540 0.000 4.097
Sm 5.296 3.600 3.013
Sm 6.982 3.037 0.000
Sm 2.832 0.000 1.254
Sm 7.760 0.000 4.772
Sm 6.982 -3.037 0.000
Sm 5.296 -3.600 3.013
Sm 10.052 0.000 1.930
Er 3.491 3.062 0.000
Er 3.491 -3.062 0.000
Er 6.982 0.000 0.000
Er 5.296 0.000 3.013
```

Values from the calculation:
The density of states at the Fermi level is 25.690 states/eV/f.u. The total energy is -65.639 eV/f.u. The value obtained for the formation enthalpy at 0 K is 0.343 eV per atom.